First-principles (PBE) data for an optimized crystal structure of ThVFe2, as listed in Alexandria via LeMat-Bulk.

abc: 4.0049 4.0049 15.1947
angles: 90.00 90.00 120.00
Space group R-3m (No. 166, hexagonal axes)
Inequivalent atoms, fractional coordinates:
Th  0.0000  0.0000  0.0000 [3 per cell]
V  0.0000  0.0000  0.5000 [3 per cell]
Fe  0.0000  0.0000  0.2039 [6 per cell]

Output
E_tot = -8.35 eV/atom
D(E_F) = 4.35 states/eV/f.u.
Magnetization = 0.378 μB per atom